Entry 1:
Here is an optimized crystal structure of RbGe2Pd2 from the Alexandria database. Energies are from PBE.

Lattice parameters (Å, degrees): 4.677 4.677 6.553 103.30 103.30 101.98
Positions (direct):
Ge 0.364 0.364 0.624
Ge 0.636 0.636 0.376
Pd 0.799 0.201 0.500
Pd 0.201 0.799 0.500
Rb 0.000 0.000 0.000

## Properties
ΔH_f (0 K)	-0.368	eV per atom
M_tot	0.00	μB per cell
excess energy over the best structure of this formula in the dataset	0.00	eV per formula unit
DOS at the Fermi energy	3.0	states/eV/cell


Entry 2:
Here is an optimized crystal structure of La2Tb2NdEr2 from the Alexandria database. Energies are from PBE.

Lattice parameters (Å, degrees): 5.112 6.263 8.110 97.44 90.00 114.09
Positions (direct):
La 0.143 0.286 0.428
La 0.857 0.714 0.572
Er 0.284 0.568 0.862
Er 0.716 0.432 0.138
Tb 0.571 0.142 0.719
Tb 0.429 0.858 0.281
Nd 0.000 0.000 0.000

## Properties
ΔH_f (0 K)	0.030	eV per atom
M_tot	0.00	μB per cell
DOS at the Fermi energy	11.3	states/eV/cell